[1]
This record from Alexandria describes a relaxed structure of ZnCu3Hg. The functional is GGA-PBE.

It has space group Pm-3m (No. 221), with a = 4.504 Å, b = 4.504 Å, c = 4.504 Å, α = 90.00°, β = 90.00° and γ = 90.00°. The distinct sites, in fractional coordinates, are Zn at (0.000, 0.000, 0.000), Cu at (0.000, 0.000, 0.500) and Hg at (0.500, 0.500, 0.500).

The density of states at the Fermi level comes out at 2.21 states/eV/f.u. The energy of formation is 0.61 eV/atom. The total magnetization is 0.000 μB per atom. The calculation puts the energy above the most stable polymorph in this dataset at 0 meV per atom.



[2]
This record from Alexandria describes a relaxed structure of ZnCuHg2. The functional is GGA-PBE.

It has space group F-43m (No. 216), with a = 6.719 Å, b = 6.719 Å, c = 6.719 Å, α = 90.00°, β = 90.00° and γ = 90.00°. The distinct sites, in fractional coordinates, are Zn at (0.000, 0.000, 0.000), Cu at (0.250, 0.250, 0.250), Hg at (0.000, 0.000, 0.500) and Hg at (0.250, 0.250, 0.750).

The density of states at the Fermi level comes out at 1.69 states/eV/f.u. The energy of formation is 0.29 eV/atom. The total magnetization is 0.000 μB per atom.



[3]
This record from Alexandria describes a relaxed structure of Zn2CuHg. The functional is GGA-PBE.

It has space group C2/m (No. 12), with a = 8.923 Å, b = 3.048 Å, c = 4.904 Å, α = 90.00°, β = 99.41° and γ = 90.00°. The distinct sites, in fractional coordinates, are Zn at (0.238, 0.000, 0.216), Cu at (0.000, 0.500, 0.000) and Hg at (0.000, 0.000, 0.500).

The density of states at the Fermi level comes out at 1.02 states/eV/f.u. The energy of formation is 0.10 eV/atom. The total magnetization is 0.000 μB per atom.



[4]
This record from Alexandria describes a relaxed structure of ZnCuHg2. The functional is GGA-PBE.

It has space group Immm (No. 71), with a = 3.285 Å, b = 5.509 Å, c = 8.690 Å, α = 90.00°, β = 90.00° and γ = 90.00°. The distinct sites, in fractional coordinates, are Zn at (0.000, 0.000, 0.000), Cu at (0.000, 0.000, 0.500) and Hg at (0.000, 0.500, 0.242).

The density of states at the Fermi level comes out at 1.29 states/eV/f.u. The energy of formation is 0.24 eV/atom. The total magnetization is 0.000 μB per atom.



[5]
This record from Alexandria describes a relaxed structure of Zn2CuHg. The functional is GGA-PBE.

It has space group Cm (No. 8), with a = 8.846 Å, b = 3.067 Å, c = 4.994 Å, α = 90.00°, β = 101.27° and γ = 90.00°. The distinct sites, in fractional coordinates, are Zn at (0.000, 0.000, 0.000), Zn at (0.246, 0.500, 0.224), Cu at (0.265, 0.000, 0.805) and Hg at (0.010, 0.500, 0.517).

The density of states at the Fermi level comes out at 0.92 states/eV/f.u. The energy of formation is 0.11 eV/atom. The total magnetization is 0.000 μB per atom.



[6]
This record from Alexandria describes a relaxed structure of Zn2CuHg. The functional is GGA-PBE.

It has space group I-4m2 (No. 119), with a = 4.038 Å, b = 4.038 Å, c = 7.853 Å, α = 90.00°, β = 90.00° and γ = 90.00°. The distinct sites, in fractional coordinates, are Zn at (0.000, 0.000, 0.000), Zn at (0.000, 0.500, 0.250), Cu at (0.000, 0.000, 0.500) and Hg at (0.000, 0.500, 0.750).

The density of states at the Fermi level comes out at 0.84 states/eV/f.u. The energy of formation is 0.11 eV/atom. The total magnetization is 0.000 μB per atom.



no.,electronic total energy (eV per atom)
1,-2.16
2,-1.21
3,-1.64
4,-1.25
5,-1.62
6,-1.63